The following is a PBE with a Hubbard U calculation of BiMo2F11 after structural relaxation, from Alexandria via LeMat-Bulk.

Cell: 7.7383 9.9407 10.9665 Å, 90.00 90.00 90.00°
Space group Ibam (No. 72)
Symmetry-distinct sites (fractional):
Bi: 0.0000 0.0000 0.2500 [4 per cell]
Mo: 0.1396 0.3198 0.0000 [8 per cell]
F: 0.0000 0.5000 0.0000 [4 per cell]
F: 0.0973 0.1888 0.1393 [16 per cell]
F: 0.1315 0.2823 0.5000 [8 per cell]
F: 0.2382 0.0699 0.3699 [16 per cell]

Output
calculated density	4.80	Mg/m³
total magnetization	4.00	μB per formula unit
total energy	-5.21	eV per atom